DFT (PBE) results for crystalline BaPrAu4 at its relaxed geometry.

Properties
For the volume, the calculation gives 154.3 Å³/cell. For the total magnetic moment, the calculation gives 0.00 Bohr magnetons per cell. The total energy comes out at -4.006 eV per atom.

```
BaPrAu4
1.0
-2.305 3.883 4.313
2.305 -3.883 4.313
2.305 3.883 -4.313
Au Pr Ba
4 1 1
Cartesian
2.305 2.338 2.912
2.305 -2.338 2.912
0.000 1.884 1.391
0.000 5.881 1.391
2.305 0.000 0.189
0.000 0.000 4.141
```

DFT (PBE) results for crystalline Tm5Ga2Sn at its relaxed geometry.

Properties
For the volume, the calculation gives 406.3 Å³/cell. For the total magnetic moment, the calculation gives 0.01 Bohr magnetons per cell. The total energy comes out at -4.629 eV per atom.

```
Tm5Ga2Sn
1.0
3.838 1.306 7.696
-6.195 -2.576 5.535
3.183 -4.470 -6.749
Tm Sn Ga
10 2 4
Cartesian
4.493 -3.035 -1.482
-0.240 -3.085 1.653
-1.179 -0.635 6.616
0.383 -3.023 8.656
0.000 0.000 0.000
3.812 -3.402 2.344
-2.986 -2.339 4.138
1.065 -2.656 4.830
0.442 -2.718 -2.174
-3.668 -2.706 7.965
-0.589 -0.318 3.308
-1.768 -0.953 9.923
-1.358 -3.645 6.295
2.183 -2.096 0.188
-0.976 -4.874 -0.642
1.801 -0.866 7.124
```

DFT (PBE) results for crystalline Zr4GeBiN2 at its relaxed geometry.

Properties
For the volume, the calculation gives 136.8 Å³/cell. For the total magnetic moment, the calculation gives 0.00 Bohr magnetons per cell. The total energy comes out at -8.471 eV per atom.

```
Zr4GeBiN2
1.0
3.372 0.000 0.000
-1.686 2.920 0.000
0.000 0.000 13.895
Zr N Ge Bi
4 2 1 1
Cartesian
0.000 1.947 2.421
0.000 0.000 4.857
0.000 1.947 11.473
0.000 0.000 9.037
1.686 0.973 3.637
1.686 0.973 10.258
0.000 1.947 6.947
0.000 0.000 0.000
```

DFT (PBE) results for crystalline YAl2Ni2 at its relaxed geometry.

Properties
For the volume, the calculation gives 81.6 Å³/cell. For the total magnetic moment, the calculation gives 0.00 Bohr magnetons per cell. The total energy comes out at -5.618 eV per atom.

```
YAl2Ni2
1.0
2.497 -3.577 3.919
4.695 1.552 3.152
-5.283 2.036 -1.526
Y Ni Al
1 2 2
Cartesian
0.000 0.000 0.000
2.773 -0.781 2.726
4.419 -1.245 4.345
0.405 -1.277 2.964
1.504 1.287 2.581
```

DFT (PBE) results for crystalline DyTmFe2B2N2 at its relaxed geometry.

Properties
For the volume, the calculation gives 90.0 Å³/cell. For the total magnetic moment, the calculation gives 2.34 Bohr magnetons per cell. The total energy comes out at -8.013 eV per atom.

```
DyTmFe2B2N2
1.0
-1.261 2.874 1.366
-2.689 -1.749 1.197
3.820 -1.417 6.511
B Fe N Tm Dy
2 2 2 1 1
Cartesian
0.570 -0.381 5.619
1.278 -0.474 2.177
0.564 -1.582 3.850
1.277 0.729 3.935
0.537 -0.199 0.915
1.314 -0.657 6.887
-1.349 0.331 2.348
3.190 -1.184 5.437
```

DFT (PBE) results for crystalline Ta4Ga2CN at its relaxed geometry.

Properties
For the volume, the calculation gives 112.7 Å³/cell. For the total magnetic moment, the calculation gives 0.00 Bohr magnetons per cell. The total energy comes out at -9.429 eV per atom.

```
Ta4Ga2CN
1.0
3.043 0.000 0.000
-1.521 2.635 0.000
0.000 0.000 14.060
N C Ta Ga
1 1 4 2
Cartesian
0.000 0.000 7.030
0.000 0.000 0.000
1.521 0.878 12.784
1.521 0.878 8.389
0.000 1.757 5.671
0.000 1.757 1.276
1.521 0.878 3.485
0.000 1.757 10.575
```

DFT (PBE) results for crystalline Y3Ho3CuTe2 at its relaxed geometry.

Properties
For the volume, the calculation gives 241.5 Å³/cell. For the total magnetic moment, the calculation gives 0.05 Bohr magnetons per cell. The total energy comes out at -5.449 eV per atom. For the energy above the most stable polymorph in this dataset, the calculation gives 0 meV/atom.

```
Y3Ho3CuTe2
1.0
-6.934 -0.649 4.703
7.105 -3.761 2.448
1.039 3.254 1.982
Ho Y Cu Te
3 3 1 2
Cartesian
2.248 0.712 1.586
-1.167 1.469 2.135
0.649 -1.710 6.403
4.238 -2.243 1.460
-4.136 -0.387 2.805
0.069 -1.780 2.886
0.000 0.000 0.000
-1.734 -0.059 4.942
2.945 -1.096 4.191
```

DFT (PBE) results for crystalline Zn2Te at its relaxed geometry.

Properties
For the volume, the calculation gives 546.7 Å³/cell. The total energy comes out at -1.874 eV per atom. For the energy above the most stable polymorph in this dataset, the calculation gives 47 meV/atom.

```
Zn2Te
1.0
5.650 13.583 0.000
-5.058 6.550 0.000
0.000 0.000 5.172
Te Zn
8 16
Cartesian
0.707 9.750 2.586
-0.111 18.418 2.586
2.265 12.761 0.000
-1.535 4.970 2.586
-0.020 6.724 0.000
-0.841 15.391 0.000
-4.245 6.582 0.000
-2.402 12.378 2.586
-0.077 2.936 0.000
0.627 12.413 2.586
0.389 14.916 2.586
-0.652 2.062 2.586
-2.254 8.380 0.000
-0.769 12.728 0.000
-3.044 11.045 0.000
1.624 8.688 0.000
2.904 14.092 2.586
2.120 16.760 2.586
-0.524 10.227 0.000
-3.236 9.752 2.586
3.095 15.387 0.000
-3.017 7.259 2.586
3.299 9.908 2.586
-2.760 4.296 0.000
```

DFT (PBE) results for crystalline TaCd2Mo at its relaxed geometry.

Properties
For the volume, the calculation gives 73.9 Å³/cell. For the total magnetic moment, the calculation gives 0.00 Bohr magnetons per cell. The calculation puts the formation energy at 534 meV per atom. The total energy comes out at -5.589 eV per atom.

```
TaCd2Mo
1.0
-2.201 -1.415 3.916
-3.661 -2.948 -0.291
0.440 -4.453 1.470
Mo Ta Cd
1 1 2
Cartesian
-2.711 -4.408 2.548
-4.067 -6.612 3.822
0.000 0.000 0.000
-1.356 -2.204 1.274
```

DFT (PBE) results for crystalline Tb2DyIn3Co2Cu at its relaxed geometry.

Properties
For the volume, the calculation gives 183.6 Å³/cell. For the total magnetic moment, the calculation gives 0.01 Bohr magnetons per cell. The total energy comes out at -4.781 eV per atom.

```
Tb2DyIn3Co2Cu
1.0
3.895 0.000 0.000
0.000 6.390 3.689
0.000 -6.390 3.689
Co In Cu Dy Tb
2 3 1 1 2
Cartesian
1.948 2.127 3.688
1.948 -2.127 3.688
1.948 0.000 5.470
1.948 -1.645 0.954
1.948 1.645 0.954
0.000 0.000 0.002
0.000 0.000 3.048
0.000 -3.748 2.163
0.000 3.748 2.163
```

DFT (PBE) results for crystalline RePOsO at its relaxed geometry.

Properties
For the volume, the calculation gives 111.8 Å³/cell. For the total magnetic moment, the calculation gives 0.04 Bohr magnetons per cell. The total energy comes out at -8.346 eV per atom. For the energy above the most stable polymorph in this dataset, the calculation gives 307 meV/atom.

```
RePOsO
1.0
-0.302 0.995 2.723
-0.389 -6.389 2.292
5.605 -0.105 0.660
P O Os Re
2 2 2 2
Cartesian
3.277 -4.106 3.424
0.638 -1.374 2.133
0.216 -5.324 1.970
3.277 -1.138 0.779
2.746 -2.050 2.614
-0.142 -3.405 2.788
5.257 -0.740 0.853
2.143 -5.794 2.355
```

DFT (PBE) results for crystalline PrHf2O3 at its relaxed geometry.

Properties
For the volume, the calculation gives 78.4 Å³/cell. For the total magnetic moment, the calculation gives 0.00 Bohr magnetons per cell. The total energy comes out at -8.898 eV per atom.

```
PrHf2O3
1.0
3.314 0.000 0.000
-1.657 2.870 0.000
0.000 0.000 8.241
O Hf Pr
3 2 1
Cartesian
0.000 0.000 0.000
1.657 0.957 5.898
0.000 1.914 2.343
1.657 0.957 1.201
0.000 1.914 7.040
0.000 0.000 4.121
```